[1]
12
Lattice="5.4027 0.0229 -1.5767 -1.0959 7.0172 -3.6541 -0.0889 0.5166 9.7479" Properties=species:S:1:pos:R:3 comment="Ac6MgAg5 GGA-PBE optimized geometry" e_tot_ev_per_atom=-3.60 dos_ef_per_ev_cell=7.32 total_magnetization_mub_per_fu=0.0 crystal_system=orthorhombic ef_ev_per_atom=-0.225 pbc="T T T"
Ag -0.5480 3.5086 -1.8271
Ag 2.8444 4.8712 -0.2280
Ac 4.3309 0.9480 4.8089
Ac 0.4253 3.1619 1.5030
Ag 3.3428 1.2657 1.4279
Ag 0.8750 6.2909 3.0892
Mg 0.0000 0.0000 0.0000
Ac 1.8914 5.1972 -3.4888
Ac 3.7925 4.3947 3.0141
Ac -0.1131 6.6087 -0.2918
Ag 1.3734 2.6855 4.7451
Ac 2.4154 1.8429 -1.7421

***

[2]
14
Lattice="4.5481 0.0000 0.0000 0.0000 8.6301 0.0000 0.0000 0.0000 8.6301" Properties=species:S:1:pos:R:3 comment="AcMg4Ag2 GGA-PBE optimized geometry" e_tot_ev_per_atom=-2.54 dos_ef_per_ev_cell=7.79 total_magnetization_mub_per_fu=0.0 crystal_system=tetragonal ef_ev_per_atom=-0.226 pbc="T T T"
Mg 2.2740 3.5733 7.2413
Mg 2.2740 5.0569 1.3888
Ag 2.2740 2.4273 2.4273
Ac 2.2740 0.0000 0.0000
Ag 0.0000 6.7423 1.8878
Mg 2.2740 7.2413 3.5733
Ag 2.2740 6.2029 6.2029
Ag 0.0000 1.8878 6.7423
Mg 2.2740 1.3888 5.0569
Mg 0.0000 7.8884 5.7039
Mg 0.0000 5.7039 7.8884
Mg 0.0000 0.7418 2.9262
Ac 0.0000 4.3151 4.3151
Mg 0.0000 2.9262 0.7418

***

[3]
8
Lattice="-0.3154 -3.5308 2.0372 -0.9483 -1.9237 -3.4808 15.7154 -2.9376 -2.6581" Properties=species:S:1:pos:R:3 comment="Ac4Mg3Ag GGA-PBE optimized geometry" e_tot_ev_per_atom=-3.13 dos_ef_per_ev_cell=7.92 total_magnetization_mub_per_fu=0.0 crystal_system=tetragonal ef_ev_per_atom=-0.123 pbc="T T T"
Ac 13.8508 -2.5890 -2.3427
Ag -0.6319 -2.7272 -0.7218
Ac 1.8646 -0.3485 -0.3154
Mg 3.2611 -3.4549 -1.3803
Ac 5.8458 -1.0927 -0.9888
Mg 7.2258 -4.1960 -2.0509
Mg 11.1906 -4.9371 -2.7215
Ac 9.8696 -1.8449 -1.6693

***

[4]
12
Lattice="-3.1341 -5.1020 1.7835 -2.4767 -3.8045 -4.2925 6.7415 -8.3338 -1.0501" Properties=species:S:1:pos:R:3 comment="Ac3Mg8Ag GGA-PBE optimized geometry" e_tot_ev_per_atom=-2.38 dos_ef_per_ev_cell=8.14 total_magnetization_mub_per_fu=0.0 crystal_system=trigonal ef_ev_per_atom=-0.051 pbc="T T T"
Mg 1.8316 -3.2174 -0.4889
Mg 0.2716 -5.7568 0.3988
Ac 6.6549 -8.2798 -1.0480
Mg 2.3307 -11.7741 -2.2620
Mg -1.3108 -3.3173 -0.8502
Mg 3.8881 -9.2389 -3.1483
Mg 3.5614 -9.8836 -0.1290
Ac 0.6749 -8.6884 -1.7823
Mg 0.5989 -5.1110 -2.6253
Ag 3.1141 -6.0740 -0.9601
Mg -0.7164 -11.9556 -2.6305
Ac -2.6104 -6.6417 -1.7007

***

[5]
8
Lattice="3.9947 0.0000 0.0000 0.0000 5.6651 0.0000 0.0000 0.0000 11.3021" Properties=species:S:1:pos:R:3 comment="Ac4MgAg3 GGA-PBE optimized geometry" e_tot_ev_per_atom=-3.53 dos_ef_per_ev_cell=6.17 total_magnetization_mub_per_fu=0.0 crystal_system=orthorhombic ef_ev_per_atom=-0.207 polymorph_energy_mev_per_atom=0 pbc="T T T"
Ac 0.0000 0.0000 0.0000
Ac 0.0000 2.8325 2.9317
Ac 0.0000 0.0000 5.6511
Ac 0.0000 2.8325 8.3704
Ag 1.9974 0.0000 8.5647
Ag 1.9974 2.8325 5.6511
Mg 1.9974 2.8325 0.0000
Ag 1.9974 0.0000 2.7374

***

[6]
10
Lattice="3.8371 0.0000 0.0000 0.0000 3.8371 0.0000 0.0000 0.0000 19.5533" Properties=species:S:1:pos:R:3 comment="Ac4MgAg5 GGA-PBE optimized geometry" e_tot_ev_per_atom=-3.44 dos_ef_per_ev_cell=6.93 total_magnetization_mub_per_fu=0.0 crystal_system=tetragonal ef_ev_per_atom=-0.211 pbc="T T T"
Ac 0.0000 0.0000 11.8256
Ag 1.9185 1.9185 1.4768
Ag 1.9185 1.9185 18.0765
Ac 0.0000 0.0000 3.6051
Ac 0.0000 0.0000 7.7277
Mg 0.0000 0.0000 0.0000
Ag 1.9185 1.9185 9.7766
Ag 1.9185 1.9185 13.8830
Ac 0.0000 0.0000 15.9482
Ag 1.9185 1.9185 5.6703

***

[7]
12
Lattice="5.9592 0.0000 0.0000 0.0000 7.0695 -0.2383 0.0000 -1.6537 6.8775" Properties=species:S:1:pos:R:3 comment="AcMg2Ag3 GGA-PBE optimized geometry" e_tot_ev_per_atom=-2.86 dos_ef_per_ev_cell=5.46 total_magnetization_mub_per_fu=0.0 crystal_system=orthorhombic ef_ev_per_atom=-0.223 pbc="T T T"
Ag 1.4898 5.1507 6.3141
Ag 1.4898 5.1336 3.5508
Ag 1.4898 2.4471 5.7423
Mg 0.0000 5.2359 1.2574
Ag 4.4694 0.2823 3.0884
Ag 4.4694 2.9687 0.8969
Mg 2.9796 5.2359 1.2574
Mg 0.0000 0.1799 5.3818
Mg 2.9796 0.1799 5.3818
Ag 4.4694 0.2652 0.3251
Ac 1.4898 1.7684 2.1678
Ac 4.4694 3.6475 4.4714

***

[8]
12
Lattice="-4.9037 3.4432 0.4480 -5.1209 -1.7070 -2.6391 -5.8144 -3.9482 6.9961" Properties=species:S:1:pos:R:3 comment="Ac3Mg2Ag7 GGA-PBE optimized geometry" e_tot_ev_per_atom=-3.17 dos_ef_per_ev_cell=6.57 total_magnetization_mub_per_fu=0.0 crystal_system=trigonal ef_ev_per_atom=-0.212 pbc="T T T"
Mg -12.4913 -2.7795 5.5163
Ag -5.6111 -0.2300 0.7786
Ac -4.7721 -2.0402 3.7396
Ag -7.6659 -1.1280 5.3467
Ag -7.9195 -1.1060 2.4025
Mg -3.3476 0.5675 -0.7113
Ag -8.0643 1.4926 1.0028
Ag -8.1730 -1.0840 -0.5417
Ag -7.7746 -3.7046 3.8022
Ac 0.0000 0.0000 0.0000
Ag -10.2279 -1.9820 4.0264
Ac -11.0668 -0.1718 1.0654

***

[9]
9
Lattice="-3.0464 -4.1905 -0.0844 0.9250 -3.7714 -5.1913 5.0843 -6.9598 2.9949" Properties=species:S:1:pos:R:3 comment="Ac3Mg4Ag2 GGA-PBE optimized geometry" e_tot_ev_per_atom=-2.85 dos_ef_per_ev_cell=7.36 total_magnetization_mub_per_fu=0.0 crystal_system=monoclinic ef_ev_per_atom=-0.140 pbc="T T T"
Mg -0.5024 -9.1929 -2.5876
Ac -0.0149 -6.3855 -0.5183
Ac 0.0000 0.0000 0.0000
Ag 2.0648 -7.9425 1.7175
Mg -0.2442 -2.9892 -1.8229
Ag 0.8981 -6.9792 -3.9983
Mg 3.4653 -5.7288 0.3069
Mg 3.2071 -11.9325 -0.4579
Ac 2.9778 -8.5362 -1.7625

***

[10]
13
Lattice="-2.9881 -0.4806 -4.8131 -5.3481 -5.3651 0.4978 -6.0002 4.6500 -0.0973" Properties=species:S:1:pos:R:3 comment="AcMg7Ag5 GGA-PBE optimized geometry" e_tot_ev_per_atom=-2.46 dos_ef_per_ev_cell=7.34 total_magnetization_mub_per_fu=0.0 crystal_system=orthorhombic ef_ev_per_atom=-0.192 pbc="T T T"
Mg -8.6561 -2.3484 -4.4659
Ag -4.4817 2.0310 -2.4481
Mg -8.4214 -0.6330 -1.4248
Ag -2.6771 -2.6286 0.2360
Ag -11.0159 -0.9042 -3.1451
Ag -4.1627 -2.8675 -2.1570
Mg -8.8525 0.6670 -4.6451
Mg -3.3509 -0.2924 -1.2486
Ag -2.9961 2.2699 -0.0551
Mg -6.9373 -3.4827 -2.0616
Mg -7.3131 2.2894 -2.4046
Ac -11.2748 -0.7131 0.3546
Mg -5.8781 -0.5617 -3.0108

***

[11]
8
Lattice="5.2108 0.0000 0.0000 0.0000 5.2108 0.0000 -2.6054 -2.6054 7.2510" Properties=species:S:1:pos:R:3 comment="Ac2MgAg5 GGA-PBE optimized geometry" e_tot_ev_per_atom=-3.15 dos_ef_per_ev_cell=4.63 total_magnetization_mub_per_fu=0.0 crystal_system=tetragonal ef_ev_per_atom=-0.137 pbc="T T T"
Ag 0.0000 2.6054 5.8185
Ag 0.0000 2.6054 1.4325
Ag 2.6054 2.6054 0.0000
Ac 0.0000 0.0000 3.8064
Ag 2.6054 0.0000 1.4325
Ag 2.6054 0.0000 5.8185
Mg 0.0000 0.0000 0.0000
Ac 2.6054 2.6054 3.4446

***

[12]
19
Lattice="7.6215 0.1368 0.7897 0.7261 7.5881 0.7897 0.1478 0.1368 7.6609" Properties=species:S:1:pos:R:3 comment="Ac2Mg12Ag5 GGA-PBE optimized geometry" e_tot_ev_per_atom=-2.35 dos_ef_per_ev_cell=12.44 total_magnetization_mub_per_fu=0.0 crystal_system=trigonal ef_ev_per_atom=-0.165 pbc="T T T"
Mg 6.9037 2.7447 3.5573
Mg 3.2706 6.6706 3.5573
Mg 2.3077 0.1368 5.6751
Mg 5.4616 0.1368 2.7755
Ag 7.6481 7.0776 8.3188
Mg 1.5917 5.1170 5.6830
Mg 5.5295 5.1170 2.0627
Mg 2.7189 5.4346 0.7897
Ac 5.5801 5.1638 6.0694
Mg 5.2248 1.1910 5.6830
Mg 0.5589 5.4346 2.7755
Mg 0.3149 2.2902 5.6751
Mg 2.9659 2.7447 7.1777
Ag 0.3630 3.7940 0.3949
Mg 5.6287 2.2902 0.7897
Ac 2.9153 2.6978 3.1709
Ag 0.0739 0.0684 3.8304
Ag 0.8473 0.7841 0.9215
Ag 3.8107 0.0684 0.3949